[1]
# PuTh2Pt4

PuTh2Pt4 after structural relaxation (PBE, Alexandria).

a = 8.731 Å, b = 8.731 Å, c = 8.532 Å
α = 90.00°, β = 90.00°, γ = 90.00°
Space group I-42d (No. 122)
Symmetry-distinct sites (fractional):
Pu 0.000 0.000 0.000 [4 per cell]
Th 0.121 0.750 0.625 [8 per cell]
Pt 0.080 0.669 0.961 [16 per cell]

Output
Calculated formation energy in kJ/mol of atoms: -102.0
Density of states at the Fermi level in states/eV per cell: 60.30
Total energy in eV per atom: -8.677

[2]
# AcNd2Cu

AcNd2Cu after structural relaxation (PBE, Alexandria).

a = 3.711 Å, b = 3.711 Å, c = 9.071 Å
α = 90.00°, β = 90.00°, γ = 90.00°
Space group P4/mmm (No. 123)
Symmetry-distinct sites (fractional):
Ac 0.000 0.000 0.000 [1 per cell]
Nd 0.500 0.500 0.313 [2 per cell]
Cu 0.000 0.000 0.500 [1 per cell]

Output
Distance to the lowest polymorph of the same formula in meV/atom: 7
Calculated formation energy in kJ/mol of atoms: -3.7
Density of states at the Fermi level in states/eV per cell: 4.09
Total energy in eV per atom: -4.473

[3]
# ScAg4Pt

ScAg4Pt after structural relaxation (PBE, Alexandria).

a = 7.617 Å, b = 7.617 Å, c = 7.617 Å
α = 90.00°, β = 90.00°, γ = 90.00°
Space group F-43m (No. 216)
Symmetry-distinct sites (fractional):
Sc 0.000 0.000 0.000 [4 per cell]
Ag 0.125 0.125 0.625 [16 per cell]
Pt 0.250 0.250 0.250 [4 per cell]

Output
Calculated formation energy in kJ/mol of atoms: -7.7
Density of states at the Fermi level in states/eV per cell: 18.47
Total energy in eV per atom: -4.042

[4]
# LiBe2Tc

LiBe2Tc after structural relaxation (PBE, Alexandria).

a = 3.582 Å, b = 3.582 Å, c = 3.243 Å
α = 90.00°, β = 90.00°, γ = 90.00°
Space group P4/mmm (No. 123)
Symmetry-distinct sites (fractional):
Li 0.000 0.000 0.000 [1 per cell]
Be 0.000 0.500 0.500 [2 per cell]
Tc 0.500 0.500 0.000 [1 per cell]

Output
Distance to the lowest polymorph of the same formula in meV/atom: 0
Calculated formation energy in kJ/mol of atoms: -4.9
Density of states at the Fermi level in states/eV per cell: 0.61
Total energy in eV per atom: -4.984

[5]
# Cu2NiC

Cu2NiC after structural relaxation (PBE, Alexandria).

a = 4.086 Å, b = 4.086 Å, c = 12.331 Å
α = 90.00°, β = 90.00°, γ = 90.00°
Space group I-42d (No. 122)
Symmetry-distinct sites (fractional):
Cu 0.130 0.250 0.125 [8 per cell]
Ni 0.000 0.000 0.500 [4 per cell]
C 0.000 0.000 0.000 [4 per cell]

Output
Calculated formation energy in kJ/mol of atoms: 116.0
Density of states at the Fermi level in states/eV per cell: 13.13
Total energy in eV per atom: -4.597

[6]
# CoIrOs2

CoIrOs2 after structural relaxation (PBE, Alexandria).

a = 2.732 Å, b = 4.527 Å, c = 4.554 Å
α = 90.00°, β = 90.00°, γ = 90.00°
Space group Pmmm (No. 47)
Symmetry-distinct sites (fractional):
Co 0.000 0.000 0.000 [1 per cell]
Ir 0.500 0.500 0.000 [1 per cell]
Os 0.000 0.500 0.500 [1 per cell]
Os 0.500 0.000 0.500 [1 per cell]

Output
Distance to the lowest polymorph of the same formula in meV/atom: 420
Calculated formation energy in kJ/mol of atoms: 49.3
Density of states at the Fermi level in states/eV per cell: 5.85
Total energy in eV per atom: -9.095

Please write out number 4 again, unchanged.
# LiBe2Tc

LiBe2Tc after structural relaxation (PBE, Alexandria).

a = 3.582 Å, b = 3.582 Å, c = 3.243 Å
α = 90.00°, β = 90.00°, γ = 90.00°
Space group P4/mmm (No. 123)
Symmetry-distinct sites (fractional):
Li 0.000 0.000 0.000 [1 per cell]
Be 0.000 0.500 0.500 [2 per cell]
Tc 0.500 0.500 0.000 [1 per cell]

Output
Distance to the lowest polymorph of the same formula in meV/atom: 0
Calculated formation energy in kJ/mol of atoms: -4.9
Density of states at the Fermi level in states/eV per cell: 0.61
Total energy in eV per atom: -4.984

Q: Among the records above, which one has the lowest total energy?
A: CoIrOs2

Q: Which formula does entry 6 have?
A: CoIrOs2